Record 1
## ZrCr2Cu (GGA-PBEsol)

Data for a relaxed structure of ZrCr2Cu.

Its calculated volume is 54.4 Å³/f.u. The total magnetization comes out at 0.000 μB/atom. For the energy relative to the lowest polymorph listed for this composition, the calculation gives 185.3 meV per atom. Its formation energy is 0.450 eV per atom.

It has space group P2/m (No. 10), with a = 2.547 Å, b = 4.357 Å, c = 4.946 Å, α = 90.00°, β = 97.81° and γ = 90.00°. Symmetry generates all atoms from Zr at (0.000, 0.000, 0.000), Cr at (0.232, 0.500, 0.732) and Cu at (0.500, 0.000, 0.500).

***

Record 2
## DyMn2Cr4Ge6 (GGA-PBEsol)

Data for a relaxed structure of DyMn2Cr4Ge6.

Its calculated volume is 179.6 Å³/f.u. The total magnetization comes out at 0.322 μB/atom. Its formation energy is -0.271 eV per atom.

It has space group Cmm2 (No. 35), with a = 5.054 Å, b = 8.723 Å, c = 8.149 Å, α = 90.00°, β = 90.00° and γ = 90.00°. Symmetry generates all atoms from Dy at (0.000, 0.000, 0.000), Mn at (0.250, 0.250, 0.749), Cr at (0.000, 0.500, 0.250), Cr at (0.000, 0.500, 0.751), Cr at (0.250, 0.250, 0.251), Ge at (0.000, 0.000, 0.346), Ge at (0.000, 0.000, 0.655), Ge at (0.000, 0.333, 0.998) and Ge at (0.000, 0.334, 0.502).

***

What did the second record say?
## DyMn2Cr4Ge6 (GGA-PBEsol)

Data for a relaxed structure of DyMn2Cr4Ge6.

Its calculated volume is 179.6 Å³/f.u. The total magnetization comes out at 0.322 μB/atom. Its formation energy is -0.271 eV per atom.

It has space group Cmm2 (No. 35), with a = 5.054 Å, b = 8.723 Å, c = 8.149 Å, α = 90.00°, β = 90.00° and γ = 90.00°. Symmetry generates all atoms from Dy at (0.000, 0.000, 0.000), Mn at (0.250, 0.250, 0.749), Cr at (0.000, 0.500, 0.250), Cr at (0.000, 0.500, 0.751), Cr at (0.250, 0.250, 0.251), Ge at (0.000, 0.000, 0.346), Ge at (0.000, 0.000, 0.655), Ge at (0.000, 0.333, 0.998) and Ge at (0.000, 0.334, 0.502).